Computed, not measured: a relaxed NdEuHfCrO6 crystal at the PBE+U level of DFT.

The structure belongs to space group F-43m (No. 216); the cell edges are 8.022, 8.022 and 8.022 Å and the angles 90.00°, 90.00° and 90.00°. The asymmetric unit holds Nd at (0.000, 0.000, 0.000), Eu at (0.000, 0.000, 0.500), Hf at (0.250, 0.250, 0.750), Cr at (0.250, 0.250, 0.250) and O at (0.004, 0.250, 0.250).

The calculation puts the density at 8.013 g cm⁻³. The total energy comes out at -9.141 eV/atom.